[1]
A geometry-optimized LiCu2NiO4 structure, computed with PBE+U.

## Properties
As for the symmetry: I4/mmm. The calculation puts the calculated total energy at -4.97 eV/atom.

Structure (extended XYZ):
```
16
Lattice="4.168 0.000 0.000 0.000 4.168 0.000 0.000 0.000 8.221" Properties=species:S:1:pos:R:3 pbc="T T T"
Li 0.000 0.000 0.000
Li 2.084 2.084 4.110
Cu 0.000 2.084 2.055
Cu 0.000 2.084 6.166
Cu 2.084 0.000 2.055
Cu 2.084 0.000 6.166
Ni 0.000 0.000 4.110
Ni 2.084 2.084 0.000
O 0.000 0.000 2.070
O 0.000 0.000 6.151
O 0.000 2.084 0.000
O 0.000 2.084 4.110
O 2.084 0.000 0.000
O 2.084 0.000 4.110
O 2.084 2.084 2.040
O 2.084 2.084 6.180
```


[2]
A geometry-optimized Li2CuNiP2O8 structure, computed with PBE+U.

## Properties
As for the symmetry: P2_1/m. The calculation puts the calculated total energy at -6.25 eV/atom.

Structure (extended XYZ):
```
28
Lattice="4.742 0.000 0.000 0.000 6.034 0.000 -0.255 0.000 10.054" Properties=species:S:1:pos:R:3 pbc="T T T"
Li 0.000 0.000 0.000
Li 0.000 3.017 0.000
Li 2.243 0.000 5.027
Li 2.243 3.017 5.027
Cu 0.040 1.508 7.226
Cu 4.446 4.525 2.828
Ni 2.231 1.508 2.221
Ni 2.256 4.525 7.833
P 0.203 4.525 5.964
P 1.942 4.525 0.973
P 2.545 1.508 9.081
P 4.284 1.508 4.090
O 0.768 4.525 4.506
O 0.886 3.306 6.679
O 0.886 5.744 6.679
O 1.074 1.508 4.041
O 0.992 1.508 9.009
O 1.303 3.270 1.653
O 1.303 5.781 1.653
O 1.167 4.525 9.559
O 3.319 1.508 0.495
O 3.184 0.253 8.401
O 3.184 2.764 8.401
O 3.495 4.525 1.045
O 3.413 4.525 6.013
O 3.600 0.289 3.374
O 3.600 2.728 3.374
O 3.719 1.508 5.548
```


[3]
A geometry-optimized Li4Cu3NiP4O16 structure, computed with PBE+U.

## Properties
As for the symmetry: Pm. The calculation puts the calculated total energy at -6.25 eV/atom.

Structure (extended XYZ):
```
28
Lattice="4.746 0.000 0.000 0.000 6.079 0.000 -0.120 0.000 10.017" Properties=species:S:1:pos:R:3 pbc="T T T"
Li 0.000 1.505 0.000
Li 0.000 4.574 0.000
Li 2.261 1.512 5.029
Li 2.261 4.567 5.029
Cu 0.068 0.000 7.180
Cu 2.453 3.039 7.861
Cu 4.420 3.039 2.838
Ni 2.234 0.000 2.205
P 0.247 3.039 5.960
P 1.963 3.039 0.959
P 2.636 0.000 9.040
P 4.294 0.000 4.054
O 0.770 3.039 4.484
O 0.912 1.802 6.646
O 0.912 4.277 6.646
O 1.081 0.000 4.007
O 1.092 0.000 8.985
O 1.321 1.779 1.614
O 1.321 4.299 1.614
O 1.336 3.039 9.489
O 3.313 0.000 0.475
O 3.290 1.234 8.326
O 3.290 4.845 8.326
O 3.448 3.039 6.025
O 3.515 3.039 1.025
O 3.613 1.220 3.338
O 3.613 4.859 3.338
O 3.726 0.000 5.510
```


[4]
A geometry-optimized Li4Cu3Ni3Te2O16 structure, computed with PBE+U.

## Properties
As for the symmetry: Cm. The calculation puts the calculated total energy at -5.15 eV/atom.

Structure (extended XYZ):
```
28
Lattice="5.077 -2.978 0.000 5.077 2.978 0.000 -0.342 0.000 9.727" Properties=species:S:1:pos:R:3 pbc="T T T"
Li 0.000 0.000 0.000
Li 0.020 0.000 4.869
Li 3.497 0.000 0.724
Li 6.951 0.000 5.569
Cu 4.187 1.447 7.523
Cu 4.187 -1.447 7.523
Cu 8.507 0.000 2.663
Ni 1.671 0.000 7.522
Ni 6.013 1.460 2.663
Ni 6.013 -1.460 2.663
Te 3.485 0.000 4.873
Te 6.841 0.000 0.058
O -0.152 0.000 6.737
O 0.022 0.000 1.852
O 2.736 1.320 6.215
O 4.268 1.477 3.834
O 1.781 0.000 3.937
O 5.705 1.515 8.724
O 3.437 0.000 8.420
O 2.736 -1.320 6.215
O 5.065 0.000 5.970
O 7.594 1.356 1.302
O 5.326 0.000 1.304
O 4.268 -1.477 3.834
O 6.914 0.000 3.590
O 8.091 0.000 8.748
O 5.705 -1.515 8.724
O 7.594 -1.356 1.302
```


[5]
A geometry-optimized Li2V4CuNiO12 structure, computed with PBE+U.

## Properties
As for the symmetry: C2. The calculation puts the calculated total energy at -6.72 eV/atom.

Structure (extended XYZ):
```
20
Lattice="5.474 -4.323 0.000 5.474 4.323 0.000 -2.276 0.000 5.118" Properties=species:S:1:pos:R:3 pbc="T T T"
Li 0.000 0.000 0.000
Li 4.336 -0.304 2.559
V 1.200 1.154 2.851
V 0.807 -1.307 5.013
V 7.471 1.154 2.266
V 7.865 -1.307 0.105
Cu 5.474 1.141 0.000
Ni 4.336 2.723 2.559
O 4.054 2.959 0.547
O 0.350 -0.176 2.215
O 4.618 2.959 4.571
O 1.291 0.387 4.817
O 3.062 1.173 3.151
O 5.610 1.173 1.966
O 3.180 -1.733 1.605
O 1.839 -2.296 4.038
O 7.380 0.387 0.301
O 5.491 -1.733 3.512
O 8.321 -0.176 2.903
O 6.833 -2.296 1.079
```


[6]
A geometry-optimized Li4Cu3Ni3W2O16 structure, computed with PBE+U.

## Properties
As for the symmetry: Cm. The calculation puts the calculated total energy at -5.70 eV/atom.

Structure (extended XYZ):
```
28
Lattice="5.233 -2.887 0.000 5.233 2.887 0.000 -0.713 0.000 9.834" Properties=species:S:1:pos:R:3 pbc="T T T"
Li 0.000 0.000 0.000
Li -0.084 0.000 4.914
Li 3.533 0.000 4.129
Li 6.364 0.000 9.111
Cu 4.018 1.443 7.143
Cu 4.018 -1.443 7.143
Cu 8.739 0.000 2.214
Ni 1.475 0.000 7.146
Ni 6.133 1.419 2.208
Ni 6.133 -1.419 2.208
W 3.393 0.000 0.028
W 6.873 0.000 4.828
O -0.056 0.000 3.064
O -0.380 0.000 7.977
O 2.113 1.315 8.624
O 1.829 0.000 1.061
O 4.436 1.384 0.983
O 3.300 0.000 6.230
O 6.210 1.438 5.790
O 4.475 0.000 8.358
O 2.113 -1.315 8.624
O 5.427 0.000 3.575
O 7.837 1.264 3.549
O 4.436 -1.384 0.983
O 7.106 0.000 1.289
O 8.689 0.000 5.955
O 6.210 -1.438 5.790
O 7.837 -1.264 3.549
```